# Sm3Ho8Tm2 | Alexandria via LeMat-Bulk | PBE-GGA | optimized geometry
data_Sm3Ho8Tm2
_chemical_formula_sum 'Sm3 Ho8 Tm2'
_cell_length_a 5.610
_cell_length_b 7.673
_cell_length_c 10.663
_cell_angle_alpha 111.15
_cell_angle_beta 90.01
_cell_angle_gamma 90.00
_space_group_name_H-M_alt 'P 1'
_space_group_IT_number 1
_space_group_name_Hall 'P 1'
loop_
_atom_site_label
_atom_site_fract_x
_atom_site_fract_y
_atom_site_fract_z
Sm1 0.000 0.290 0.000
Ho1 0.500 0.400 0.219
Ho2 0.500 0.819 0.219
Tm1 0.500 0.241 0.482
Tm2 0.500 0.759 0.518
Ho3 0.000 0.135 0.270
Ho4 0.500 0.181 0.781
Sm2 0.000 0.710 0.000
Ho5 0.500 0.600 0.781
Ho6 0.000 0.865 0.730
Ho7 0.000 0.328 0.657
Ho8 0.000 0.672 0.343
Sm3 0.500 0.000 0.000
# * energy of formation from the pure elements: 3.18 eV per formula unit
# * space group: P2/m
# * E: -56.54 eV for the cell shown
# * Fermi-level density of states: 1.6302 states/eV per atom
# * ΔE to the lowest computed polymorph: 222.4 meV/atom



# SmHo4Tm8 | Alexandria via LeMat-Bulk | PBE-GGA | optimized geometry
data_SmHo4Tm8
_chemical_formula_sum 'Sm1 Ho4 Tm8'
_cell_length_a 7.217
_cell_length_b 7.216
_cell_length_c 9.825
_cell_angle_alpha 90.00
_cell_angle_beta 111.55
_cell_angle_gamma 120.00
_space_group_name_H-M_alt 'P 1'
_space_group_IT_number 1
_space_group_name_Hall 'P 1'
loop_
_atom_site_label
_atom_site_fract_x
_atom_site_fract_y
_atom_site_fract_z
Ho1 0.000 0.500 0.000
Tm1 0.057 0.250 0.306
Ho2 0.500 0.000 0.000
Tm2 0.057 0.807 0.306
Ho3 0.000 0.000 0.000
Tm3 0.501 0.750 0.694
Ho4 0.500 0.500 0.000
Tm4 0.564 0.782 0.346
Sm1 0.000 0.500 0.500
Tm5 0.943 0.750 0.694
Tm6 0.943 0.193 0.694
Tm7 0.499 0.250 0.306
Tm8 0.436 0.218 0.654
# * energy of formation from the pure elements: 2.84 eV per formula unit
# * space group: R-3m
# * E: -55.96 eV for the cell shown
# * Fermi-level density of states: 1.2611 states/eV per atom



# Sm12Ho5Tm2 | Alexandria via LeMat-Bulk | PBE-GGA | optimized geometry
data_Sm12Ho5Tm2
_chemical_formula_sum 'Sm12 Ho5 Tm2'
_cell_length_a 11.642
_cell_length_b 10.621
_cell_length_c 6.185
_cell_angle_alpha 100.56
_cell_angle_beta 90.00
_cell_angle_gamma 123.23
_space_group_name_H-M_alt 'P 1'
_space_group_IT_number 1
_space_group_name_Hall 'P 1'
loop_
_atom_site_label
_atom_site_fract_x
_atom_site_fract_y
_atom_site_fract_z
Sm1 0.854 0.207 0.618
Sm2 0.119 0.237 0.003
Sm3 0.444 0.888 0.726
Sm4 0.146 0.793 0.382
Ho1 0.322 0.645 0.139
Sm5 0.941 0.394 0.199
Sm6 0.547 0.606 0.801
Ho2 0.000 0.000 0.500
Ho3 0.678 0.355 0.861
Sm7 0.453 0.394 0.199
Sm8 0.648 0.793 0.382
Ho4 0.216 0.432 0.556
Sm9 0.059 0.606 0.801
Tm1 0.768 0.000 0.000
Sm10 0.556 0.112 0.274
Tm2 0.232 0.000 0.000
Sm11 0.881 0.763 0.997
Sm12 0.352 0.207 0.618
Ho5 0.784 0.568 0.444
# * energy of formation from the pure elements: 1.98 eV per formula unit
# * space group: C2/m
# * E: -86.49 eV for the cell shown
# * Fermi-level density of states: 1.4524 states/eV per atom
# * ΔE to the lowest computed polymorph: 0.0 meV/atom



# Sm2Ho2Tm7 | Alexandria via LeMat-Bulk | PBE-GGA | optimized geometry
data_Sm2Ho2Tm7
_chemical_formula_sum 'Sm2 Ho2 Tm7'
_cell_length_a 5.984
_cell_length_b 7.968
_cell_length_c 7.968
_cell_angle_alpha 92.16
_cell_angle_beta 73.88
_cell_angle_gamma 73.88
_space_group_name_H-M_alt 'P 1'
_space_group_IT_number 1
_space_group_name_Hall 'P 1'
loop_
_atom_site_label
_atom_site_fract_x
_atom_site_fract_y
_atom_site_fract_z
Tm1 0.825 0.936 0.410
Tm2 0.419 0.234 0.234
Ho1 0.192 0.595 0.595
Tm3 0.175 0.590 0.064
Tm4 0.581 0.766 0.766
Tm5 0.825 0.410 0.936
Sm1 0.500 0.788 0.212
Tm6 0.175 0.064 0.590
Ho2 0.808 0.405 0.405
Tm7 0.000 0.000 0.000
Sm2 0.500 0.212 0.788
# * energy of formation from the pure elements: 1.79 eV per formula unit
# * space group: C2/m
# * E: -48.10 eV for the cell shown
# * Fermi-level density of states: 1.5284 states/eV per atom
# * ΔE to the lowest computed polymorph: 3.6 meV/atom



# Sm2Ho3Tm7 | Alexandria via LeMat-Bulk | PBE-GGA | optimized geometry
data_Sm2Ho3Tm7
_chemical_formula_sum 'Sm2 Ho3 Tm7'
_cell_length_a 3.577
_cell_length_b 5.617
_cell_length_c 18.865
_cell_angle_alpha 98.56
_cell_angle_beta 90.00
_cell_angle_gamma 90.00
_space_group_name_H-M_alt 'P 1'
_space_group_IT_number 1
_space_group_name_Hall 'P 1'
loop_
_atom_site_label
_atom_site_fract_x
_atom_site_fract_y
_atom_site_fract_z
Tm1 0.000 0.770 0.539
Tm2 0.500 0.929 0.858
Tm3 0.000 0.411 0.821
Sm1 0.000 0.853 0.706
Tm4 0.500 0.071 0.142
Tm5 0.000 0.000 0.000
Sm2 0.000 0.147 0.294
Ho1 0.500 0.686 0.371
Tm6 0.000 0.589 0.179
Ho2 0.500 0.314 0.629
Tm7 0.000 0.230 0.461
Ho3 0.500 0.500 0.000
# * energy of formation from the pure elements: 1.38 eV per formula unit
# * space group: Cmmm
# * E: -53.09 eV for the cell shown
# * Fermi-level density of states: 1.4900 states/eV per atom
# * ΔE to the lowest computed polymorph: 30.4 meV/atom



# Sm10Ho4Tm | Alexandria via LeMat-Bulk | PBE-GGA | optimized geometry
data_Sm10Ho4Tm
_chemical_formula_sum 'Sm10 Ho4 Tm1'
_cell_length_a 7.725
_cell_length_b 9.478
_cell_length_c 9.478
_cell_angle_alpha 80.44
_cell_angle_beta 65.95
_cell_angle_gamma 65.95
_space_group_name_H-M_alt 'P 1'
_space_group_IT_number 1
_space_group_name_Hall 'P 1'
loop_
_atom_site_label
_atom_site_fract_x
_atom_site_fract_y
_atom_site_fract_z
Sm1 0.850 0.701 0.101
Ho1 0.400 0.801 0.400
Ho2 0.600 0.199 0.600
Ho3 0.799 0.600 0.801
Sm2 0.951 0.899 0.701
Sm3 0.449 0.899 0.701
Sm4 0.551 0.101 0.299
Tm1 0.000 0.000 0.000
Sm5 0.349 0.701 0.101
Ho4 0.201 0.400 0.199
Sm6 0.250 0.500 0.500
Sm7 0.049 0.101 0.299
Sm8 0.750 0.500 0.500
Sm9 0.651 0.299 0.899
Sm10 0.150 0.299 0.899
# * energy of formation from the pure elements: 10.58 eV per formula unit
# * space group: I4/m
# * E: -59.40 eV for the cell shown
# * Fermi-level density of states: 1.3190 states/eV per atom



# SmHo3Tm2 | Alexandria via LeMat-Bulk | PBE-GGA | optimized geometry
data_SmHo3Tm2
_chemical_formula_sum 'Sm2 Ho6 Tm4'
_cell_length_a 7.113
_cell_length_b 10.093
_cell_length_c 7.108
_cell_angle_alpha 79.87
_cell_angle_beta 119.96
_cell_angle_gamma 121.88
_space_group_name_H-M_alt 'P 1'
_space_group_IT_number 1
_space_group_name_Hall 'P 1'
loop_
_atom_site_label
_atom_site_fract_x
_atom_site_fract_y
_atom_site_fract_z
Ho1 0.804 0.664 0.861
Sm1 0.251 0.001 0.250
Ho2 0.251 0.001 0.750
Ho3 0.196 0.336 0.139
Ho4 0.196 0.335 0.639
Ho5 0.749 0.999 0.250
Tm1 0.697 0.336 0.640
Tm2 0.303 0.664 0.360
Tm3 0.303 0.665 0.861
Tm4 0.697 0.335 0.139
Sm2 0.749 0.999 0.750
Ho6 0.804 0.665 0.361
# * energy of formation from the pure elements: -0.02 eV per formula unit
# * space group: P-1
# * E: -54.83 eV for the cell shown
# * Fermi-level density of states: 1.2691 states/eV per atom
# * ΔE to the lowest computed polymorph: 0.0 meV/atom



# Sm2Ho3Tm3 | Alexandria via LeMat-Bulk | PBE-GGA | optimized geometry
data_Sm2Ho3Tm3
_chemical_formula_sum 'Sm2 Ho3 Tm3'
_cell_length_a 5.003
_cell_length_b 5.005
_cell_length_c 10.593
_cell_angle_alpha 103.66
_cell_angle_beta 103.66
_cell_angle_gamma 90.00
_space_group_name_H-M_alt 'P 1'
_space_group_IT_number 1
_space_group_name_Hall 'P 1'
loop_
_atom_site_label
_atom_site_fract_x
_atom_site_fract_y
_atom_site_fract_z
Tm1 0.877 0.877 0.753
Ho1 0.377 0.377 0.754
Tm2 0.123 0.123 0.247
Ho2 0.500 0.000 0.000
Tm3 0.000 0.500 0.000
Sm1 0.250 0.750 0.500
Sm2 0.750 0.250 0.500
Ho3 0.623 0.623 0.246
# * energy of formation from the pure elements: 0.19 eV per formula unit
# * space group: Immm
# * E: -36.39 eV for the cell shown
# * Fermi-level density of states: 1.4219 states/eV per atom
# * ΔE to the lowest computed polymorph: 0.0 meV/atom



# Sm6Ho7Tm16 | Alexandria via LeMat-Bulk | PBE-GGA | optimized geometry
data_Sm6Ho7Tm16
_chemical_formula_sum 'Sm6 Ho7 Tm16'
_cell_length_a 11.055
_cell_length_b 11.055
_cell_length_c 11.055
_cell_angle_alpha 60.00
_cell_angle_beta 60.00
_cell_angle_gamma 60.00
_space_group_name_H-M_alt 'P 1'
_space_group_IT_number 1
_space_group_name_Hall 'P 1'
loop_
_atom_site_label
_atom_site_fract_x
_atom_site_fract_y
_atom_site_fract_z
Tm1 0.346 0.346 0.963
Sm1 0.281 0.719 0.281
Ho1 0.500 0.000 0.000
Ho2 0.000 0.500 0.500
Ho3 0.000 0.000 0.500
Ho4 0.500 0.500 0.000
Sm2 0.719 0.719 0.281
Tm2 0.346 0.963 0.346
Tm3 0.037 0.654 0.654
Sm3 0.719 0.281 0.281
Sm4 0.281 0.281 0.719
Tm4 0.123 0.123 0.632
Tm5 0.877 0.368 0.877
Ho5 0.000 0.000 0.000
Tm6 0.654 0.654 0.654
Ho6 0.500 0.000 0.500
Tm7 0.877 0.877 0.368
Tm8 0.963 0.346 0.346
Tm9 0.368 0.877 0.877
Ho7 0.000 0.500 0.000
Tm10 0.877 0.877 0.877
Tm11 0.123 0.123 0.123
Tm12 0.654 0.654 0.037
Tm13 0.632 0.123 0.123
Tm14 0.123 0.632 0.123
Tm15 0.654 0.037 0.654
Tm16 0.346 0.346 0.346
Sm5 0.719 0.281 0.719
Sm6 0.281 0.719 0.719
# * energy of formation from the pure elements: 7.17 eV per formula unit
# * space group: Fm-3m
# * E: -124.74 eV for the cell shown
# * Fermi-level density of states: 1.7168 states/eV per atom



# Sm7Ho2Tm2 | Alexandria via LeMat-Bulk | PBE-GGA | optimized geometry
data_Sm7Ho2Tm2
_chemical_formula_sum 'Sm7 Ho2 Tm2'
_cell_length_a 5.595
_cell_length_b 8.153
_cell_length_c 9.392
_cell_angle_alpha 115.72
_cell_angle_beta 107.33
_cell_angle_gamma 90.00
_space_group_name_H-M_alt 'P 1'
_space_group_IT_number 1
_space_group_name_Hall 'P 1'
loop_
_atom_site_label
_atom_site_fract_x
_atom_site_fract_y
_atom_site_fract_z
Sm1 0.867 0.193 0.733
Tm1 0.000 0.622 0.000
Sm2 0.133 0.460 0.267
Sm3 0.663 0.786 0.326
Sm4 0.500 0.919 0.000
Ho1 0.299 0.921 0.598
Ho2 0.701 0.323 0.402
Tm2 0.500 0.335 0.000
Sm5 0.135 0.053 0.270
Sm6 0.865 0.783 0.730
Sm7 0.337 0.460 0.674
# * energy of formation from the pure elements: 1.26 eV per formula unit
# * space group: Imm2
# * E: -49.87 eV for the cell shown
# * Fermi-level density of states: 1.5192 states/eV per atom
# * ΔE to the lowest computed polymorph: 0.0 meV/atom



# Sm2Ho3Tm9 | Alexandria via LeMat-Bulk | PBE-GGA | optimized geometry
data_Sm2Ho3Tm9
_chemical_formula_sum 'Sm2 Ho3 Tm9'
_cell_length_a 6.344
_cell_length_b 10.178
_cell_length_c 14.127
_cell_angle_alpha 35.47
_cell_angle_beta 55.82
_cell_angle_gamma 59.17
_space_group_name_H-M_alt 'P 1'
_space_group_IT_number 1
_space_group_name_Hall 'P 1'
loop_
_atom_site_label
_atom_site_fract_x
_atom_site_fract_y
_atom_site_fract_z
Tm1 0.268 0.045 0.119
Tm2 0.409 0.996 0.713
Tm3 0.851 0.521 0.904
Tm4 0.154 0.448 0.098
Tm5 0.014 0.494 0.509
Ho1 0.947 0.100 0.949
Tm6 0.573 0.984 0.311
Tm7 0.714 0.919 0.909
Sm1 0.389 0.431 0.651
Tm8 0.046 0.068 0.559
Tm9 0.929 0.912 0.470
Sm2 0.735 0.586 0.298
Ho2 0.482 0.409 0.262
Ho3 0.489 0.586 0.747
# * energy of formation from the pure elements: 1.20 eV per formula unit
# * space group: P1
# * E: -62.22 eV for the cell shown
# * Fermi-level density of states: 1.6343 states/eV per atom



# SmHo2Tm9 | Alexandria via LeMat-Bulk | PBE-GGA | optimized geometry
data_SmHo2Tm9
_chemical_formula_sum 'Sm1 Ho2 Tm9'
_cell_length_a 3.474
_cell_length_b 11.071
_cell_length_c 11.071
_cell_angle_alpha 120.00
_cell_angle_beta 90.00
_cell_angle_gamma 90.00
_space_group_name_H-M_alt 'P 1'
_space_group_IT_number 1
_space_group_name_Hall 'P 1'
loop_
_atom_site_label
_atom_site_fract_x
_atom_site_fract_y
_atom_site_fract_z
Ho1 0.000 0.667 0.333
Tm1 0.500 0.644 0.822
Tm2 0.000 0.500 0.500
Tm3 0.500 0.822 0.644
Tm4 0.000 0.000 0.500
Tm5 0.500 0.356 0.178
Sm1 0.000 0.000 0.000
Tm6 0.500 0.822 0.178
Tm7 0.500 0.178 0.356
Tm8 0.000 0.500 0.000
Ho2 0.000 0.333 0.667
Tm9 0.500 0.178 0.822
# * energy of formation from the pure elements: 0.57 eV per formula unit
# * space group: P6/mmm
# * E: -53.55 eV for the cell shown
# * Fermi-level density of states: 1.4486 states/eV per atom
# * ΔE to the lowest computed polymorph: 21.2 meV/atom